Ba4Ge20Au3, optimized geometry, DFT PBE; calculated total energy = -4.394 eV per atom
1.0
10.947 0.000 0.000
0.000 10.947 0.000
0.000 0.000 10.947
Ba Ge Au
8 40 6
Direct
0.000 0.000 0.000
0.000 0.250 0.500
0.000 0.750 0.500
0.250 0.500 0.000
0.500 0.000 0.250
0.500 0.000 0.750
0.500 0.500 0.500
0.750 0.500 0.000
0.000 0.309 0.117
0.000 0.309 0.883
0.000 0.691 0.117
0.000 0.691 0.883
0.117 0.000 0.309
0.117 0.000 0.691
0.183 0.183 0.183
0.183 0.183 0.817
0.183 0.817 0.183
0.183 0.817 0.817
0.191 0.500 0.383
0.191 0.500 0.617
0.309 0.117 0.000
0.309 0.883 0.000
0.317 0.317 0.317
0.317 0.317 0.683
0.317 0.683 0.317
0.317 0.683 0.683
0.383 0.191 0.500
0.383 0.809 0.500
0.500 0.383 0.191
0.500 0.383 0.809
0.500 0.617 0.191
0.500 0.617 0.809
0.617 0.191 0.500
0.617 0.809 0.500
0.683 0.317 0.317
0.683 0.317 0.683
0.683 0.683 0.317
0.683 0.683 0.683
0.691 0.117 0.000
0.691 0.883 0.000
0.809 0.500 0.383
0.809 0.500 0.617
0.817 0.183 0.183
0.817 0.183 0.817
0.817 0.817 0.183
0.817 0.817 0.817
0.883 0.000 0.309
0.883 0.000 0.691
0.000 0.500 0.250
0.000 0.500 0.750
0.250 0.000 0.500
0.500 0.250 0.000
0.500 0.750 0.000
0.750 0.000 0.500

BaGeAu, optimized geometry, DFT PBE; calculated total energy = -3.533 eV per atom
1.0
0.000 3.619 3.619
3.619 0.000 3.619
3.619 3.619 0.000
Ba Ge Au
1 1 1
Direct
0.000 0.000 0.000
0.500 0.500 0.500
0.250 0.250 0.250

BaIn2GeAu, optimized geometry, DFT PBE; calculated total energy = -3.558 eV per atom
1.0
-2.376 2.376 5.945
2.376 -2.376 5.945
2.376 2.376 -5.945
Ba In Ge Au
1 2 1 1
Direct
0.000 0.000 0.000
0.248 0.748 0.500
0.748 0.248 0.500
0.599 0.599 0.000
0.380 0.380 0.000